VASP calculation (PBE-GGA) on a geometry-optimized MgZn4Hg structure.

## Properties
size of the total moment = 0.0 μB/f.u.
energy of formation from the pure elements = -0.005 eV/atom
DOS at the Fermi energy = 2.1 states/eV/f.u.
space group = F-43m

The structure in CIF format:
```
data_MgZn4Hg
_chemical_formula_sum 'Mg1 Zn4 Hg1'
_cell_length_a 5.291
_cell_length_b 5.291
_cell_length_c 5.291
_cell_angle_alpha 60.00
_cell_angle_beta 60.00
_cell_angle_gamma 60.00
_space_group_name_H-M_alt 'P 1'
_space_group_IT_number 1
loop_
_space_group_symop_operation_xyz
'x,y,z'
loop_
_atom_site_label
_atom_site_fract_x
_atom_site_fract_y
_atom_site_fract_z
_atom_site_occupancy
Mg1 0.000 0.000 0.000 1
Zn1 0.374 0.374 0.374 1
Zn2 0.374 0.374 0.877 1
Zn3 0.374 0.877 0.374 1
Zn4 0.877 0.374 0.374 1
Hg1 0.750 0.750 0.750 1
```



VASP calculation (PBE-GGA) on a geometry-optimized MgBe3B structure.

## Properties
size of the total moment = 0.0 μB/f.u.
energy of formation from the pure elements = 0.371 eV/atom
DOS at the Fermi energy = 1.4 states/eV/f.u.
energy above the most stable polymorph in this dataset = 0.000 eV/atom
space group = Pm-3m

The structure in CIF format:
```
data_MgBe3B
_chemical_formula_sum 'Mg1 Be3 B1'
_cell_length_a 3.761
_cell_length_b 3.761
_cell_length_c 3.761
_cell_angle_alpha 90.00
_cell_angle_beta 90.00
_cell_angle_gamma 90.00
_space_group_name_H-M_alt 'P 1'
_space_group_IT_number 1
loop_
_space_group_symop_operation_xyz
'x,y,z'
loop_
_atom_site_label
_atom_site_fract_x
_atom_site_fract_y
_atom_site_fract_z
_atom_site_occupancy
Mg1 0.000 0.000 0.000 1
Be1 0.000 0.500 0.500 1
Be2 0.500 0.000 0.500 1
Be3 0.500 0.500 0.000 1
B1 0.500 0.500 0.500 1
```



VASP calculation (PBE-GGA) on a geometry-optimized LaPAu2 structure.

## Properties
size of the total moment = 0.0 μB/f.u.
energy of formation from the pure elements = -0.653 eV/atom
DOS at the Fermi energy = 1.1 states/eV/f.u.
space group = Pm

The structure in CIF format:
```
data_LaPAu2
_chemical_formula_sum 'La1 P1 Au2'
_cell_length_a 4.096
_cell_length_b 3.945
_cell_length_c 5.874
_cell_angle_alpha 90.00
_cell_angle_beta 110.27
_cell_angle_gamma 90.00
_space_group_name_H-M_alt 'P 1'
_space_group_IT_number 1
loop_
_space_group_symop_operation_xyz
'x,y,z'
loop_
_atom_site_label
_atom_site_fract_x
_atom_site_fract_y
_atom_site_fract_z
_atom_site_occupancy
La1 0.000 0.000 0.000 1
P1 0.436 0.500 0.871 1
Au1 0.274 0.000 0.548 1
Au2 0.684 0.500 0.367 1
```



VASP calculation (PBE-GGA) on a geometry-optimized LaY4Sc structure.

## Properties
size of the total moment = 0.0 μB/f.u.
energy of formation from the pure elements = 0.049 eV/atom
DOS at the Fermi energy = 10.1 states/eV/f.u.
energy above the most stable polymorph in this dataset = 0.000 eV/atom
space group = C2/m

The structure in CIF format:
```
data_LaY4Sc
_chemical_formula_sum 'La1 Y4 Sc1'
_cell_length_a 6.147
_cell_length_b 6.147
_cell_length_c 7.065
_cell_angle_alpha 106.21
_cell_angle_beta 106.21
_cell_angle_gamma 48.43
_space_group_name_H-M_alt 'P 1'
_space_group_IT_number 1
loop_
_space_group_symop_operation_xyz
'x,y,z'
loop_
_atom_site_label
_atom_site_fract_x
_atom_site_fract_y
_atom_site_fract_z
_atom_site_occupancy
La1 0.000 0.000 0.000 1
Y1 0.332 0.332 0.662 1
Y2 0.337 0.337 0.173 1
Y3 0.663 0.663 0.827 1
Y4 0.668 0.668 0.338 1
Sc1 0.000 0.000 0.500 1
```



Number 1 is which compound? MgZn4Hg